# TlNiAs2F | Alexandria via LeMat-Bulk | GGA+U | optimized geometry
# Total moment ... 1.223 μB per formula unit
# VASP energy ... -15.1 eV per cell
# Crystal system ... tetragonal
data_TlNiAs2F
_symmetry_space_group_name_H-M 'P 1'
_symmetry_Int_Tables_number 1
_symmetry_space_group_name_Hall 'P 1'
_cell_length_a 4.949
_cell_length_b 4.949
_cell_length_c 3.996
_cell_angle_alpha 90.00
_cell_angle_beta 90.00
_cell_angle_gamma 90.00
loop_
_atom_site_label
_atom_site_type_symbol
_atom_site_fract_x
_atom_site_fract_y
_atom_site_fract_z
_atom_site_occupancy
Ni1 Ni 0.000 0.000 0.500 1
Tl1 Tl 0.500 0.500 0.500 1
As1 As 0.000 0.500 0.000 1
As2 As 0.500 0.000 0.000 1
F1 F 0.000 0.000 0.000 1